VASP calculation (PBE) on crystalline TbEuZnPb at its relaxed geometry.

Summary:
Fermi-level density of states   0.676 states/eV per atom
DFT total energy   -5.350 eV/atom
Calculated density   8.8 g/cm3

Lattice parameters (Å, degrees): 7.604 7.604 7.604 90.00 90.00 90.00
Space group F-43m (No. 216)
Asymmetric unit:
1 Tb 0.000 0.000 0.000 [4 per cell]
2 Eu 0.000 0.000 0.500 [4 per cell]
3 Zn 0.250 0.250 0.250 [4 per cell]
4 Pb 0.250 0.250 0.750 [4 per cell]

VASP calculation (PBE) on crystalline KMgIn at its relaxed geometry.

Summary:
Energy above the lowest structure with this stoichiometry   29 meV/atom
Fermi-level density of states   0.326 states/eV per atom
DFT total energy   -1.844 eV/atom
Calculated density   2.9 g/cm3

Lattice parameters (Å, degrees): 5.803 5.299 7.179 90.00 113.38 90.00
Space group P2_1/m (No. 11)
Asymmetric unit:
1 K 0.229 0.250 0.020 [2 per cell]
2 Mg 0.147 0.750 0.551 [2 per cell]
3 In 0.432 0.250 0.604 [2 per cell]

VASP calculation (PBE) on crystalline La2TbMg6 at its relaxed geometry.

Summary:
Fermi-level density of states   0.940 states/eV per atom
DFT total energy   -2.769 eV/atom
Calculated density   3.9 g/cm3

Lattice parameters (Å, degrees): 9.2325 9.2325 3.3799 90.00 90.00 120.00
Space group P6/mmm (No. 191)
Asymmetric unit:
1 La 0.3333 0.6667 0.0000 [2 per cell]
2 Tb 0.0000 0.0000 0.0000 [1 per cell]
3 Mg 0.0000 0.3284 0.5000 [6 per cell]

VASP calculation (PBE) on crystalline TiTlZnPt2 at its relaxed geometry.

Summary:
Fermi-level density of states   0.866 states/eV per atom
DFT total energy   -4.315 eV/atom
Calculated density   10.0 g/cm3

Lattice parameters (Å, degrees): 4.789 4.789 5.105 90.00 90.00 90.00
Space group P4/mmm (No. 123)
Asymmetric unit:
1 Ti 0.000 0.000 0.000 [1 per cell]
2 Tl 0.500 0.500 0.500 [1 per cell]
3 Zn 0.000 0.000 0.500 [1 per cell]
4 Pt 0.000 0.500 0.000 [2 per cell]

VASP calculation (PBE) on crystalline CeEuIr2 at its relaxed geometry.

Summary:
Energy above the lowest structure with this stoichiometry   62 meV/atom
Fermi-level density of states   1.816 states/eV per atom
DFT total energy   -8.960 eV/atom
Calculated density   13.2 g/cm3

Lattice parameters (Å, degrees): 6.988 6.988 6.988 90.00 90.00 90.00
Space group Fm-3m (No. 225)
Asymmetric unit:
1 Ce 0.000 0.000 0.000 [4 per cell]
2 Eu 0.000 0.000 0.500 [4 per cell]
3 Ir 0.250 0.250 0.250 [8 per cell]

VASP calculation (PBE) on crystalline LaFe2Pb at its relaxed geometry.

Summary:
Fermi-level density of states   1.016 states/eV per atom
DFT total energy   -5.659 eV/atom
Calculated density   9.0 g/cm3

Lattice parameters (Å, degrees): 4.533 4.533 16.497 90.00 90.00 90.00
Space group I-42d (No. 122)
Asymmetric unit:
1 La 0.000 0.000 0.000 [4 per cell]
2 Fe 0.181 0.250 0.125 [8 per cell]
3 Pb 0.000 0.000 0.500 [4 per cell]

VASP calculation (PBE) on crystalline Sm6HoTh at its relaxed geometry.

Summary:
Energy above the lowest structure with this stoichiometry   0 meV/atom
Fermi-level density of states   1.323 states/eV per atom
DFT total energy   -5.005 eV/atom
Calculated density   8.1 g/cm3

Lattice parameters (Å, degrees): 7.213 7.213 5.125 90.00 90.00 90.00
Space group P4/mmm (No. 123)
Asymmetric unit:
1 Sm 0.000 0.500 0.000 [2 per cell]
2 Sm 0.246 0.246 0.500 [4 per cell]
3 Ho 0.500 0.500 0.000 [1 per cell]
4 Th 0.000 0.000 0.000 [1 per cell]

VASP calculation (PBE) on crystalline SrTaB3 at its relaxed geometry.

Summary:
Energy above the lowest structure with this stoichiometry   2359 meV/atom
Fermi-level density of states   0.480 states/eV per atom
DFT total energy   -3.795 eV/atom
Calculated density   6.5 g/cm3

Lattice parameters (Å, degrees): 4.244 4.244 4.244 90.00 90.00 90.00
Space group Pm-3m (No. 221)
Asymmetric unit:
1 Sr 0.000 0.000 0.000 [1 per cell]
2 Ta 0.500 0.500 0.500 [1 per cell]
3 B 0.000 0.000 0.500 [3 per cell]

VASP calculation (PBE) on crystalline GeN3Cl at its relaxed geometry.

Summary:
Fermi-level density of states   1.059 states/eV per atom
DFT total energy   -4.208 eV/atom
Calculated density   4.4 g/cm3
Formation energy from raw total energies   200.7 kJ/mol of atoms

Lattice parameters (Å, degrees): 3.847 3.847 3.847 90.00 90.00 90.00
Space group Pm-3m (No. 221)
Asymmetric unit:
1 Ge 0.000 0.000 0.000 [1 per cell]
2 N 0.000 0.000 0.500 [3 per cell]
3 Cl 0.500 0.500 0.500 [1 per cell]

VASP calculation (PBE) on crystalline Rb2Sc2S at its relaxed geometry.

Summary:
Energy above the lowest structure with this stoichiometry   890 meV/atom
Fermi-level density of states   1.097 states/eV per atom
DFT total energy   -3.015 eV/atom
Calculated density   2.9 g/cm3
Formation energy from raw total energies   70.5 kJ/mol of atoms

Lattice parameters (Å, degrees): 4.132 4.132 19.438 90.00 90.00 90.00
Space group I4/mmm (No. 139)
Asymmetric unit:
1 Rb 0.000 0.500 0.250 [4 per cell]
2 Sc 0.000 0.000 0.071 [4 per cell]
3 S 0.000 0.000 0.500 [2 per cell]

VASP calculation (PBE) on crystalline Nd3I2N2 at its relaxed geometry.

Summary:
Energy above the lowest structure with this stoichiometry   0 meV/atom
Fermi-level density of states   0.085 states/eV per atom
DFT total energy   -6.206 eV/atom
Calculated density   6.2 g/cm3
Formation energy from raw total energies   -129.4 kJ/mol of atoms

Lattice parameters (Å, degrees): 13.594 3.960 8.734 90.00 124.87 90.00
Space group C2/m (No. 12)
Asymmetric unit:
1 Nd 0.000 0.000 0.000 [2 per cell]
2 Nd 0.196 0.000 0.803 [4 per cell]
3 I 0.076 0.500 0.362 [4 per cell]
4 N 0.196 0.000 0.066 [4 per cell]

VASP calculation (PBE) on crystalline InCuRe2B at its relaxed geometry.

Summary:
Fermi-level density of states   0.965 states/eV per atom
DFT total energy   -6.066 eV/atom
Calculated density   11.7 g/cm3

Lattice parameters (Å, degrees): 4.704 4.704 3.603 90.00 90.00 90.00
Space group P4/mmm (No. 123)
Asymmetric unit:
1 In 0.000 0.000 0.000 [1 per cell]
2 Cu 0.500 0.500 0.500 [1 per cell]
3 Re 0.000 0.500 0.500 [2 per cell]
4 B 0.500 0.500 0.000 [1 per cell]

VASP calculation (PBE) on crystalline Ac2SmGd at its relaxed geometry.

Summary:
Energy above the lowest structure with this stoichiometry   183 meV/atom
Fermi-level density of states   1.903 states/eV per atom
DFT total energy   -6.539 eV/atom
Calculated density   8.0 g/cm3

Lattice parameters (Å, degrees): 3.7360 3.7360 39.4014 90.00 90.00 120.00
Space group R-3m (No. 166, hexagonal axes)
Asymmetric unit:
1 Ac 0.0000 0.0000 0.0889 [6 per cell]
2 Sm 0.0000 0.0000 0.0000 [3 per cell]
3 Gd 0.0000 0.0000 0.5000 [3 per cell]

VASP calculation (PBE) on crystalline K2SrScF6 at its relaxed geometry.

Summary:
Fermi-level density of states   0.250 states/eV per atom
DFT total energy   -5.405 eV/atom
Calculated density   2.9 g/cm3
Formation energy from raw total energies   -314.7 kJ/mol of atoms

Lattice parameters (Å, degrees): 6.315 8.896 6.621 90.00 90.00 90.00
Space group Pmmn (No. 59, origin choice 2)
Asymmetric unit:
1 K 0.250 0.025 0.194 [4 per cell]
2 Sr 0.250 0.250 0.705 [2 per cell]
3 Sc 0.250 0.750 0.767 [2 per cell]
4 F 0.016 0.750 0.010 [4 per cell]
5 F 0.031 0.250 0.399 [4 per cell]
6 F 0.250 0.518 0.788 [4 per cell]

VASP calculation (PBE) on crystalline Tl16Cd6In7 at its relaxed geometry.

Summary:
Fermi-level density of states   0.593 states/eV per atom
DFT total energy   -2.050 eV/atom
Calculated density   8.8 g/cm3

Lattice parameters (Å, degrees): 15.279 15.279 15.279 90.00 90.00 90.00
Space group Fm-3m (No. 225)
Asymmetric unit:
1 Tl 0.120 0.120 0.120 [32 per cell]
2 Tl 0.151 0.151 0.349 [32 per cell]
3 Cd 0.000 0.000 0.343 [24 per cell]
4 In 0.000 0.000 0.000 [4 per cell]
5 In 0.000 0.250 0.250 [24 per cell]

VASP calculation (PBE) on crystalline BAsH at its relaxed geometry.

Summary:
DFT total energy   -4.603 eV/atom
Calculated density   2.9 g/cm3

Lattice parameters (Å, degrees): 11.931 6.360 5.166 90.00 90.00 90.00
Space group Pbcn (No. 60)
Asymmetric unit:
1 B 0.064 0.147 0.173 [8 per cell]
2 As 0.089 0.180 0.603 [8 per cell]
3 H 0.127 0.284 0.104 [8 per cell]

VASP calculation (PBE) on crystalline Sr2AlAgPt at its relaxed geometry.

Summary:
Fermi-level density of states   0.932 states/eV per atom
DFT total energy   -3.604 eV/atom
Calculated density   5.1 g/cm3

Lattice parameters (Å, degrees): 5.886 5.886 4.746 90.00 90.00 90.00
Space group P4/mmm (No. 123)
Asymmetric unit:
1 Sr 0.000 0.500 0.000 [2 per cell]
2 Al 0.000 0.000 0.500 [1 per cell]
3 Ag 0.500 0.500 0.500 [1 per cell]
4 Pt 0.000 0.000 0.000 [1 per cell]

VASP calculation (PBE) on crystalline HfZrCoOs at its relaxed geometry.

Summary:
Fermi-level density of states   0.614 states/eV per atom
DFT total energy   -9.690 eV/atom
Calculated density   12.7 g/cm3

Lattice parameters (Å, degrees): 6.477 6.477 6.477 90.00 90.00 90.00
Space group F-43m (No. 216)
Asymmetric unit:
1 Hf 0.000 0.000 0.000 [4 per cell]
2 Zr 0.000 0.000 0.500 [4 per cell]
3 Co 0.250 0.250 0.750 [4 per cell]
4 Os 0.250 0.250 0.250 [4 per cell]

VASP calculation (PBE) on crystalline CaBiCl2 at its relaxed geometry.

Summary:
Energy above the lowest structure with this stoichiometry   0 meV/atom
Fermi-level density of states   0.784 states/eV per atom
DFT total energy   -3.854 eV/atom
Calculated density   3.5 g/cm3
Formation energy from raw total energies   -140.9 kJ/mol of atoms

Lattice parameters (Å, degrees): 3.7583 3.7583 37.1050 90.00 90.00 120.00
Space group R-3m (No. 166, hexagonal axes)
Asymmetric unit:
1 Ca 0.0000 0.0000 0.0000 [3 per cell]
2 Bi 0.0000 0.0000 0.5000 [3 per cell]
3 Cl 0.0000 0.0000 0.3761 [6 per cell]

VASP calculation (PBE) on crystalline NaSb2RuW at its relaxed geometry.

Summary:
Fermi-level density of states   0.863 states/eV per atom
DFT total energy   -5.417 eV/atom
Calculated density   6.9 g/cm3
Formation energy from raw total energies   90.8 kJ/mol of atoms

Lattice parameters (Å, degrees): 5.183 5.183 4.936 90.00 90.00 90.00
Space group P4/mmm (No. 123)
Asymmetric unit:
1 Na 0.000 0.000 0.000 [1 per cell]
2 Sb 0.000 0.500 0.500 [2 per cell]
3 Ru 0.500 0.500 0.500 [1 per cell]
4 W 0.500 0.500 0.000 [1 per cell]

VASP calculation (PBE) on crystalline Cs2S3 at its relaxed geometry.

Summary:
DFT total energy   -3.626 eV/atom
Calculated density   3.1 g/cm3
Formation energy from raw total energies   -78.0 kJ/mol of atoms

Lattice parameters (Å, degrees): 9.664 8.826 9.107 90.00 90.00 90.00
Space group Cmc2_1 (No. 36)
Asymmetric unit:
1 Cs 0.247 0.108 0.000 [8 per cell]
2 S 0.000 0.164 0.681 [4 per cell]
3 S 0.000 0.351 0.824 [4 per cell]
4 S 0.000 0.439 0.219 [4 per cell]

VASP calculation (PBE) on crystalline Pd3RhSe6 at its relaxed geometry.

Summary:
Fermi-level density of states   0.700 states/eV per atom
DFT total energy   -4.673 eV/atom
Calculated density   7.2 g/cm3
Formation energy from raw total energies   -27.9 kJ/mol of atoms

Lattice parameters (Å, degrees): 6.5120 6.5120 16.7675 90.00 90.00 120.00
Space group R3 (No. 146, hexagonal axes)
Asymmetric unit:
1 Pd 0.0000 0.0000 0.0000 [3 per cell]
2 Pd 0.0000 0.0000 0.1978 [3 per cell]
3 Pd 0.0000 0.0000 0.4976 [3 per cell]
4 Rh 0.0000 0.0000 0.6968 [3 per cell]
5 Se 0.0014 0.7022 0.5986 [9 per cell]
6 Se 0.0306 0.3576 0.7633 [9 per cell]

VASP calculation (PBE) on crystalline ScPaTc at its relaxed geometry.

Summary:
Energy above the lowest structure with this stoichiometry   164 meV/atom
Fermi-level density of states   1.289 states/eV per atom
DFT total energy   -8.750 eV/atom
Calculated density   8.6 g/cm3

Lattice parameters (Å, degrees): 4.522 5.144 6.638 93.21 109.82 90.05
Space group P-1 (No. 2)
Asymmetric unit:
1 Sc 0.246 0.270 0.493 [2 per cell]
2 Pa 0.000 0.000 0.000 [1 per cell]
3 Pa 0.500 0.500 0.000 [1 per cell]
4 Tc 0.390 0.882 0.781 [2 per cell]

VASP calculation (PBE) on crystalline MnZnCuTc at its relaxed geometry.

Summary:
Fermi-level density of states   0.593 states/eV per atom
DFT total energy   -6.083 eV/atom
Calculated density   8.9 g/cm3

Lattice parameters (Å, degrees): 5.956 5.956 5.956 90.00 90.00 90.00
Space group F-43m (No. 216)
Asymmetric unit:
1 Mn 0.000 0.000 0.000 [4 per cell]
2 Zn 0.000 0.000 0.500 [4 per cell]
3 Cu 0.250 0.250 0.750 [4 per cell]
4 Tc 0.250 0.250 0.250 [4 per cell]